5
Lattice="2.937 0.010 0.191 -0.024 3.099 0.198 -0.672 -0.596 9.179" Properties=species:S:1:pos:R:3 comment="PBE Si2SnRhN, relaxed" raw_formation_energy_kj_per_mol_fu=-111 energy_ev_per_atom=-6.33 magmom_total_mub_per_cell=0.00 volume_a3_per_atom=16.9 e_above_lowest_polymorph_mev_per_atom=146 pbc="T T T"
N 1.931 0.045 4.632
Si 0.669 0.243 1.330
Si 0.518 0.095 3.674
Rh 2.196 1.866 0.463
Sn 1.804 -0.109 6.978

=====

22
Lattice="11.892 0.000 0.000 0.000 11.892 0.000 0.000 0.000 11.327" Properties=species:S:1:pos:R:3 comment="PBE K6Rb4Au, relaxed" ef_ev_per_atom=-0.0047 energy_ev_per_atom=-1.25 magmom_total_mub_per_cell=0.00 volume_a3_per_atom=72.8 pbc="T T T"
Rb 10.315 4.369 8.495
Rb 10.315 4.369 2.832
Rb 1.577 7.523 2.832
Rb 4.369 1.577 2.832
Rb 4.369 1.577 8.495
Rb 7.523 10.315 8.495
Rb 1.577 7.523 8.495
Rb 7.523 10.315 2.832
K 10.417 8.786 5.664
K 8.786 1.475 5.664
K 1.475 3.107 5.664
K 4.471 9.053 0.000
K 2.840 4.471 0.000
K 5.946 5.946 3.364
K 3.107 10.417 5.664
K 9.053 7.422 0.000
K 0.000 0.000 9.027
K 5.946 5.946 7.963
K 0.000 0.000 2.300
K 7.422 2.840 0.000
Au 5.946 5.946 0.000
Au 0.000 0.000 5.664